1.
First-principles (PBE) data for a geometry-optimized POs2F2 structure, as listed in Alexandria via LeMat-Bulk.

Output
**Symmetry**: P4/mbm (127)
**Crystal system**: tetragonal
**E_tot**: -0.248 Ha/atom
**E_form (uncorrected)**: -0.423 eV per atom
**ΔE to the lowest computed polymorph**: 0.0000 eV/atom

a = 5.984 Å, b = 5.984 Å, c = 4.117 Å
α = 90.00°, β = 90.00°, γ = 90.00°
Fractional positions:
P 0.000 0.000 0.000
P 0.500 0.500 0.000
Os 0.352 0.852 0.000
Os 0.852 0.648 0.000
Os 0.648 0.148 0.000
Os 0.148 0.352 0.000
F 0.348 0.848 0.500
F 0.848 0.652 0.500
F 0.652 0.152 0.500
F 0.152 0.348 0.500

---

2.
First-principles (PBE) data for a geometry-optimized Ti3ReO structure, as listed in Alexandria via LeMat-Bulk.

Output
**Symmetry**: Pm-3m (221)
**Crystal system**: cubic
**E_tot**: -0.341 Ha/atom
**E_form (uncorrected)**: -1.066 eV per atom
**ΔE to the lowest computed polymorph**: 0.0000 eV/atom

a = 4.100 Å, b = 4.100 Å, c = 4.100 Å
α = 90.00°, β = 90.00°, γ = 90.00°
Fractional positions:
Re 0.500 0.500 0.500
O 0.000 0.000 0.000
Ti 0.000 0.500 0.000
Ti 0.000 0.000 0.500
Ti 0.500 0.000 0.000

---

3.
First-principles (PBE) data for a geometry-optimized Ta2TlSb structure, as listed in Alexandria via LeMat-Bulk.

Output
**Symmetry**: I-4m2 (119)
**Crystal system**: tetragonal
**E_tot**: -0.257 Ha/atom
**E_form (uncorrected)**: 0.546 eV per atom
**ΔE to the lowest computed polymorph**: 0.3161 eV/atom

a = 5.491 Å, b = 5.491 Å, c = 5.491 Å
α = 134.85°, β = 134.85°, γ = 65.77°
Fractional positions:
Sb 0.750 0.250 0.500
Ta 0.000 0.000 0.000
Ta 0.250 0.750 0.500
Tl 0.500 0.500 0.000

---

4.
First-principles (PBE) data for a geometry-optimized Ce4Si2Te5 structure, as listed in Alexandria via LeMat-Bulk.

Output
**Symmetry**: Immm (71)
**Crystal system**: orthorhombic
**E_tot**: -0.204 Ha/atom
**E_form (uncorrected)**: -0.966 eV per atom

a = 4.398 Å, b = 8.224 Å, c = 10.739 Å
α = 112.52°, β = 101.81°, γ = 90.00°
Site moments in Bohr magnetons follow the coordinates.
Fractional positions:
Ce 0.707 0.707 0.413  0.42
Ce 0.000 0.730 0.000  0.46
Ce 0.293 0.293 0.587  0.42
Ce 0.000 0.270 0.000  0.46
Si 0.557 0.557 0.115  0.01
Si 0.443 0.443 0.885  0.01
Te 0.164 0.923 0.327  -0.02
Te 0.836 0.077 0.673  -0.02
Te 0.164 0.404 0.327  -0.02
Te 0.500 0.000 0.000  -0.03
Te 0.836 0.596 0.673  -0.02

---

5.
First-principles (PBE) data for a geometry-optimized K2LaVS structure, as listed in Alexandria via LeMat-Bulk.

Output
**Symmetry**: P4/mmm (123)
**Crystal system**: tetragonal
**E_tot**: -0.134 Ha/atom
**E_form (uncorrected)**: 0.421 eV per atom

a = 6.895 Å, b = 4.436 Å, c = 6.895 Å
α = 90.00°, β = 90.00°, γ = 90.00°
Site moments in Bohr magnetons follow the coordinates.
Fractional positions:
K 0.000 0.000 0.500  0.00
K 0.500 0.000 0.000  0.00
V 0.000 0.000 0.000  -2.68
S 0.000 0.500 0.000  0.15
La 0.500 0.500 0.500  0.49

---

6.
First-principles (PBE) data for a geometry-optimized SmLuCu2 structure, as listed in Alexandria via LeMat-Bulk.

Output
**Symmetry**: Fm-3m (225)
**Crystal system**: cubic
**E_tot**: -0.169 Ha/atom
**ΔE to the lowest computed polymorph**: 0.0146 eV/atom
**Energy of formation from the pure elements**: -0.230 eV per atom

a = 4.911 Å, b = 4.911 Å, c = 4.911 Å
α = 60.00°, β = 60.00°, γ = 60.00°
Fractional positions:
Lu 0.000 0.000 0.000
Cu 0.250 0.250 0.250
Cu 0.750 0.750 0.750
Sm 0.500 0.500 0.500